Record 1
Below is a geometry-optimized VTeAsPb2 structure, with properties calculated at the PBE level.

Cell: 5.4802 5.4802 5.5881 Å, 90.00 90.00 90.00°
Closest atoms and distances in Å follow each position.
Positions (direct):
V 0.0000 0.0000 0.0000  4 Te 3.88, 8 Pb 3.91
Te 0.5000 0.5000 0.0000  2 As 2.79
As 0.5000 0.5000 0.5000  4 Pb 2.74, 2 Te 2.79
Pb 0.0000 0.5000 0.5000  2 As 2.74
Pb 0.5000 0.0000 0.5000  2 As 2.74

Values from the calculation:
raw total energy: -3.98 eV/atom
calculated density: 6.6 Mg/m³

***

Record 2
Below is a geometry-optimized Y6Te3AsPb2 structure, with properties calculated at the PBE level.

Cell: 9.7681 9.7681 8.7666 Å, 103.02 103.02 25.78°
Closest atoms and distances in Å follow each position.
Positions (direct):
Y 0.0019 0.0019 0.2290  2 As 2.96, 1 Pb 3.05, 3 Te 3.14-3.23
Y 0.3325 0.3325 0.4233  3 Pb 3.06-3.08, 3 Te 3.10-3.14
Y 0.3426 0.3426 0.9170  1 As 2.92, 2 Pb 3.05, 3 Te 3.12-3.25
Y 0.6574 0.6574 0.0830  1 As 2.92, 2 Pb 3.05, 3 Te 3.12-3.25
Y 0.6675 0.6675 0.5767  3 Pb 3.06-3.08, 3 Te 3.10-3.14
Y 0.9981 0.9981 0.7710  2 As 2.96, 1 Pb 3.05, 3 Te 3.14-3.23
Te 0.1675 0.1675 0.8339  6 Y 3.12-3.25
Te 0.5000 0.5000 0.5000  6 Y 3.10-3.23
Te 0.8325 0.8325 0.1661  6 Y 3.12-3.25
As 0.5000 0.5000 0.0000  6 Y 2.92-2.96
Pb 0.1663 0.1663 0.3308  6 Y 3.05-3.08
Pb 0.8337 0.8337 0.6692  6 Y 3.05-3.08

Values from the calculation:
raw total energy: -6.17 eV/atom
calculated density: 6.6 Mg/m³

***

Record 3
Below is a geometry-optimized Y4Te2AsPb structure, with properties calculated at the PBE level.

Cell: 7.5107 4.3228 7.5418 Å, 90.00 109.22 90.00°
Closest atoms and distances in Å follow each position.
Positions (direct):
Y 0.2329 0.0000 0.2254  2 As 2.94, 1 Pb 3.03, 3 Te 3.12-3.20
Y 0.2459 0.5000 0.7664  1 As 2.94, 2 Pb 3.03, 3 Te 3.11-3.19
Y 0.7541 0.5000 0.2336  1 As 2.94, 2 Pb 3.03, 3 Te 3.11-3.19
Y 0.7671 0.0000 0.7746  2 As 2.94, 1 Pb 3.03, 3 Te 3.12-3.20
Te 0.0000 0.0000 0.5000  6 Y 3.11-3.12
Te 0.5000 0.5000 0.5000  6 Y 3.19-3.20
As 0.0000 0.5000 0.0000  6 Y 2.94
Pb 0.5000 0.0000 0.0000  6 Y 3.03

Values from the calculation:
raw total energy: -6.29 eV/atom
calculated density: 6.4 Mg/m³

***

Record 4
Below is a geometry-optimized Y8Te4As3Pb structure, with properties calculated at the PBE level.

Cell: 8.6442 8.6442 8.6442 Å, 59.22 59.22 59.22°
Closest atoms and distances in Å follow each position.
Positions (direct):
Y 0.2312 0.7471 0.7471  2 As 2.91, 1 Pb 3.01, 3 Te 3.08-3.18
Y 0.2390 0.2390 0.2390  3 As 2.91, 3 Te 3.18
Y 0.2529 0.2529 0.7688  2 As 2.91, 1 Pb 3.01, 3 Te 3.08-3.18
Y 0.2529 0.7688 0.2529  2 As 2.91, 1 Pb 3.01, 3 Te 3.08-3.18
Y 0.7471 0.2312 0.7471  2 As 2.91, 1 Pb 3.01, 3 Te 3.08-3.18
Y 0.7471 0.7471 0.2312  2 As 2.91, 1 Pb 3.01, 3 Te 3.08-3.18
Y 0.7610 0.7610 0.7610  3 As 2.91, 3 Te 3.18
Y 0.7688 0.2529 0.2529  2 As 2.91, 1 Pb 3.01, 3 Te 3.08-3.18
Te 0.0000 0.0000 0.0000  6 Y 3.08
Te 0.0000 0.5000 0.5000  6 Y 3.18
Te 0.5000 0.0000 0.5000  6 Y 3.18
Te 0.5000 0.5000 0.0000  6 Y 3.18
As 0.0000 0.0000 0.5000  6 Y 2.91
As 0.0000 0.5000 0.0000  6 Y 2.91
As 0.5000 0.0000 0.0000  6 Y 2.91
Pb 0.5000 0.5000 0.5000  6 Y 3.01

Values from the calculation:
raw total energy: -6.49 eV/atom
calculated density: 6.1 Mg/m³

***

Record 5
Below is a geometry-optimized Th2AsPb structure, with properties calculated at the PBE level.

Cell: 3.6138 3.6138 8.3535 Å, 90.00 90.00 90.00°
Closest atoms and distances in Å follow each position.
Positions (direct):
Th 0.0000 0.0000 0.2163  4 As 3.13, 4 Pb 3.49
Th 0.0000 0.0000 0.7837  4 As 3.13, 4 Pb 3.49
As 0.5000 0.5000 0.0000  8 Th 3.13
Pb 0.5000 0.5000 0.5000  8 Th 3.49, 4 Pb 3.61

Values from the calculation:
formation energy from the elements: -718 meV/atom
distance to the lowest polymorph of the same formula: 71.1 meV per atom
calculated density: 11.4 Mg/m³

***

Record 6
Below is a geometry-optimized Th2AsPb structure, with properties calculated at the PBE level.

Cell: 8.7186 8.7186 8.7186 Å, 27.15 27.15 27.15°
Closest atoms and distances in Å follow each position.
Positions (direct):
Th 0.0000 0.0000 0.0000  3 As 2.95
Th 0.1937 0.1937 0.1937  3 As 2.94
As 0.5962 0.5962 0.5962  6 Th 2.94-2.95
Pb 0.7640 0.7640 0.7640  6 Th 3.39-3.41

Values from the calculation:
formation energy from the elements: -717 meV/atom
distance to the lowest polymorph of the same formula: 72.4 meV per atom
calculated density: 10.2 Mg/m³